Here is a geometry-optimized AcTl4Pb structure from Alexandria via LeMat-Bulk. Energies are from PBE-GGA.

Computed properties:
Energy of formation ... -0.07 eV/atom
Total magnetic moment ... 0.000 μB/atom
Symmetry ... F-43m

a b c (Å): 6.477 6.477 6.477
angles (deg): 60.00 60.00 60.00
Positions (direct):
Pb 0.000 0.000 0.000
Ac 0.250 0.250 0.250
Tl 0.625 0.625 0.125
Tl 0.625 0.125 0.625
Tl 0.625 0.625 0.625
Tl 0.125 0.625 0.625



Here is a geometry-optimized MgBeCuCl2 structure from Alexandria via LeMat-Bulk. Energies are from PBE-GGA.

Computed properties:
Total magnetic moment ... 0.000 μB/atom
Uncorrected formation energy ... -87 meV per atom
Symmetry ... P4/mmm

a b c (Å): 4.214 4.214 5.844
angles (deg): 90.00 90.00 90.00
Positions (direct):
Be 0.000 0.000 0.000
Mg 0.500 0.500 0.500
Cu 0.000 0.000 0.500
Cl 0.000 0.500 0.000
Cl 0.500 0.000 0.000



Here is a geometry-optimized AlPBrCl2 structure from Alexandria via LeMat-Bulk. Energies are from PBE-GGA.

Computed properties:
Total magnetic moment ... 0.000 μB/atom
Uncorrected formation energy ... -257 meV per atom
Symmetry ... P4/mmm

a b c (Å): 4.499 4.499 5.396
angles (deg): 90.00 90.00 90.00
Positions (direct):
P 0.000 0.000 0.500
Al 0.000 0.000 0.000
Br 0.500 0.500 0.500
Cl 0.000 0.500 0.000
Cl 0.500 0.000 0.000



Here is a geometry-optimized PrNd6Er2Th structure from Alexandria via LeMat-Bulk. Energies are from PBE-GGA.

Computed properties:
Energy of formation ... 0.14 eV/atom
Total magnetic moment ... 0.000 μB/atom
Symmetry ... C2/c

a b c (Å): 9.823 8.886 8.886
angles (deg): 116.04 94.30 94.30
Positions (direct):
Pr 0.250 0.404 0.596
Pr 0.750 0.596 0.404
Nd 0.058 0.106 0.760
Nd 0.442 0.240 0.894
Nd 0.942 0.894 0.240
Nd 0.558 0.760 0.106
Nd 0.316 0.984 0.423
Nd 0.184 0.577 0.016
Nd 0.684 0.016 0.577
Nd 0.816 0.423 0.984
Nd 0.120 0.701 0.488
Nd 0.380 0.512 0.299
Nd 0.880 0.299 0.512
Nd 0.620 0.488 0.701
Er 0.449 0.804 0.714
Er 0.051 0.286 0.196
Er 0.551 0.196 0.286
Er 0.949 0.714 0.804
Th 0.250 0.969 0.031
Th 0.750 0.031 0.969



Here is a geometry-optimized RbGaC structure from Alexandria via LeMat-Bulk. Energies are from PBE-GGA.

Computed properties:
Energy of formation ... 0.46 eV/atom
Total magnetic moment ... 0.000 μB/atom
Symmetry ... Pmmm

a b c (Å): 6.278 3.506 5.769
angles (deg): 90.00 90.00 90.00
Positions (direct):
C 0.111 0.500 0.000
C 0.889 0.500 0.000
Ga 0.703 0.000 0.000
Ga 0.297 0.000 0.000
Rb 0.500 0.500 0.500
Rb 0.000 0.000 0.500



Here is a geometry-optimized LiLa2Sb4Pd3 structure from Alexandria via LeMat-Bulk. Energies are from PBE-GGA.

Computed properties:
Total magnetic moment ... 0.000 μB/atom
Uncorrected formation energy ... -878 meV per atom
Symmetry ... P-4m2

a b c (Å): 4.595 4.595 11.053
angles (deg): 90.00 90.00 90.00
Positions (direct):
Li 0.500 0.500 0.500
La 0.500 0.000 0.257
La 0.000 0.500 0.743
Sb 0.500 0.500 0.000
Sb 0.000 0.000 0.000
Sb 0.500 0.000 0.632
Sb 0.000 0.500 0.368
Pd 0.000 0.000 0.500
Pd 0.500 0.000 0.870
Pd 0.000 0.500 0.130



Here is a geometry-optimized CeSmZnBi structure from Alexandria via LeMat-Bulk. Energies are from PBE-GGA.

Computed properties:
Energy of formation ... -0.39 eV/atom
Total magnetic moment ... 0.390 μB/atom
Symmetry ... F-43m

a b c (Å): 5.387 5.387 5.387
angles (deg): 60.00 60.00 60.00
Positions (direct):
Zn 0.000 0.000 0.000
Ce 0.750 0.750 0.750
Bi 0.500 0.500 0.500
Sm 0.250 0.250 0.250



Here is a geometry-optimized V4Ga2Ni structure from Alexandria via LeMat-Bulk. Energies are from PBE-GGA.

Computed properties:
Energy of formation ... 0.64 eV/atom
Total magnetic moment ... 0.531 μB/atom
Symmetry ... I4/mmm

a b c (Å): 4.229 4.229 7.355
angles (deg): 73.29 73.29 90.00
Positions (direct):
Ni 0.000 0.000 0.000
Ga 0.368 0.368 0.263
Ga 0.632 0.632 0.737
V 0.175 0.175 0.650
V 0.825 0.825 0.350
V 0.000 0.500 0.000
V 0.500 0.000 0.000



Here is a geometry-optimized LiAgH structure from Alexandria via LeMat-Bulk. Energies are from PBE-GGA.

Computed properties:
Total magnetic moment ... 0.000 μB/atom
Symmetry ... P3m1
VASP energy ... -8.33 eV per formula unit

a b c (Å): 4.834 2.890 2.890
angles (deg): 120.00 90.00 90.00
Positions (direct):
H 0.960 0.000 0.000
Ag 0.278 0.333 0.667
Li 0.761 0.667 0.333



Here is a geometry-optimized LaWC2 structure from Alexandria via LeMat-Bulk. Energies are from PBE-GGA.

Computed properties:
Energy of formation ... 1.25 eV/atom
Total magnetic moment ... 0.000 μB/atom
Symmetry ... Fm-3m

a b c (Å): 4.232 4.232 4.232
angles (deg): 60.00 60.00 60.00
Positions (direct):
C 0.250 0.250 0.250
C 0.750 0.750 0.750
W 0.500 0.500 0.500
La 0.000 0.000 0.000



Here is a geometry-optimized ErTiCd2 structure from Alexandria via LeMat-Bulk. Energies are from PBE-GGA.

Computed properties:
Energy of formation ... -0.06 eV/atom
Total magnetic moment ... 0.370 μB/atom
Symmetry ... P4/mmm

a b c (Å): 4.382 4.503 4.503
angles (deg): 90.00 90.00 90.00
Positions (direct):
Cd 0.000 0.000 0.500
Cd 0.000 0.500 0.000
Ti 0.500 0.500 0.500
Er 0.500 0.000 0.000



Here is a geometry-optimized Tb4PmTh structure from Alexandria via LeMat-Bulk. Energies are from PBE-GGA.

Computed properties:
Energy of formation ... 0.02 eV/atom
Total magnetic moment ... 0.000 μB/atom
Symmetry ... C2/m

a b c (Å): 3.573 9.489 11.867
angles (deg): 148.75 89.97 100.87
Positions (direct):
Tb 0.828 0.655 0.494
Tb 0.173 0.344 0.506
Tb 0.337 0.675 0.003
Tb 0.662 0.325 0.997
Pm 0.500 0.000 0.500
Th 0.000 0.000 0.000



Please write out number 5 again, unchanged.
Here is a geometry-optimized RbGaC structure from Alexandria via LeMat-Bulk. Energies are from PBE-GGA.

Computed properties:
Energy of formation ... 0.46 eV/atom
Total magnetic moment ... 0.000 μB/atom
Symmetry ... Pmmm

a b c (Å): 6.278 3.506 5.769
angles (deg): 90.00 90.00 90.00
Positions (direct):
C 0.111 0.500 0.000
C 0.889 0.500 0.000
Ga 0.703 0.000 0.000
Ga 0.297 0.000 0.000
Rb 0.500 0.500 0.500
Rb 0.000 0.000 0.500



- Which formula does entry 10 have?
  LaWC2